1.
This record from Alexandria via LeMat-Bulk describes an optimized crystal structure of PrNdS. The functional is PBE-GGA.

Output
The mass density comes out at 6.0 Mg/m³. The crystal system is orthorhombic. The formation energy from raw total energies is -1.17 eV/atom. The energy above the most stable polymorph in this dataset comes out at 6.8 kJ/mol of atoms.

a b c (Å): 7.5498 10.9669 6.9327
angles (deg): 142.27 90.00 90.00
Positions (direct):
Pr1 0.0000 0.7926 0.5853
Pr2 0.0000 0.2074 0.4147
Pr3 0.5000 0.2926 0.5853
Pr4 0.5000 0.7074 0.4147
S1 0.7968 0.5566 0.0000
S2 0.2968 0.9434 0.0000
S3 0.2032 0.4434 0.0000
S4 0.7032 0.0566 0.0000
Nd1 0.6680 0.7930 0.0000
Nd2 0.8320 0.2930 0.0000
Nd3 0.1680 0.7070 0.0000
Nd4 0.3320 0.2070 0.0000

2.
This record from Alexandria via LeMat-Bulk describes an optimized crystal structure of LaReIO2. The functional is PBE-GGA.

Output
The mass density comes out at 8.3 Mg/m³. The crystal system is tetragonal. The formation energy from raw total energies is -0.67 eV/atom. The energy above the most stable polymorph in this dataset comes out at 0.0 kJ/mol of atoms.

a b c (Å): 4.1362 4.1362 5.6345
angles (deg): 90.00 90.00 90.00
Positions (direct):
I1 0.0000 0.0000 0.5000
Re1 0.0000 0.0000 0.0000
O1 0.0000 0.5000 0.0000
O2 0.5000 0.0000 0.0000
La1 0.5000 0.5000 0.5000

3.
This record from Alexandria via LeMat-Bulk describes an optimized crystal structure of Y2ReBAs. The functional is PBE-GGA.

Output
The mass density comes out at 7.4 Mg/m³. The crystal system is tetragonal. The value obtained for the calculated formation energy is -0.303 eV per atom.

a b c (Å): 5.0002 4.0530 5.0002
angles (deg): 90.00 90.00 90.00
Positions (direct):
Y1 0.0000 0.0000 0.5000
Y2 0.5000 0.0000 0.0000
Re1 0.0000 0.5000 0.0000
As1 0.5000 0.5000 0.5000
B1 0.0000 0.0000 0.0000

What is the formula in the third record?
Y2ReBAs

Please write out number 1 again, unchanged.
This record from Alexandria via LeMat-Bulk describes an optimized crystal structure of PrNdS. The functional is PBE-GGA.

Output
The mass density comes out at 6.0 Mg/m³. The crystal system is orthorhombic. The formation energy from raw total energies is -1.17 eV/atom. The energy above the most stable polymorph in this dataset comes out at 6.8 kJ/mol of atoms.

a b c (Å): 7.5498 10.9669 6.9327
angles (deg): 142.27 90.00 90.00
Positions (direct):
Pr1 0.0000 0.7926 0.5853
Pr2 0.0000 0.2074 0.4147
Pr3 0.5000 0.2926 0.5853
Pr4 0.5000 0.7074 0.4147
S1 0.7968 0.5566 0.0000
S2 0.2968 0.9434 0.0000
S3 0.2032 0.4434 0.0000
S4 0.7032 0.0566 0.0000
Nd1 0.6680 0.7930 0.0000
Nd2 0.8320 0.2930 0.0000
Nd3 0.1680 0.7070 0.0000
Nd4 0.3320 0.2070 0.0000

Copy entry 1 word for word.
This record from Alexandria via LeMat-Bulk describes an optimized crystal structure of PrNdS. The functional is PBE-GGA.

Output
The mass density comes out at 6.0 Mg/m³. The crystal system is orthorhombic. The formation energy from raw total energies is -1.17 eV/atom. The energy above the most stable polymorph in this dataset comes out at 6.8 kJ/mol of atoms.

a b c (Å): 7.5498 10.9669 6.9327
angles (deg): 142.27 90.00 90.00
Positions (direct):
Pr1 0.0000 0.7926 0.5853
Pr2 0.0000 0.2074 0.4147
Pr3 0.5000 0.2926 0.5853
Pr4 0.5000 0.7074 0.4147
S1 0.7968 0.5566 0.0000
S2 0.2968 0.9434 0.0000
S3 0.2032 0.4434 0.0000
S4 0.7032 0.0566 0.0000
Nd1 0.6680 0.7930 0.0000
Nd2 0.8320 0.2930 0.0000
Nd3 0.1680 0.7070 0.0000
Nd4 0.3320 0.2070 0.0000

The lowest mass density belongs to which entry?
PrNdS